[1]
Material: SrPrInSn
Method: DFT, PBE
State: relaxed

The energy of formation is -0.492 eV per atom. Its total magnetic moment is 0.00 μB per atom. The total energy is -3.792 eV per atom.

The structure belongs to space group F-43m (No. 216); the cell edges are 7.9478, 7.9478 and 7.9478 Å and the angles 90.00°, 90.00° and 90.00°. The distinct sites, in fractional coordinates, are Sr at (0.0000, 0.0000, 0.0000), Pr at (0.0000, 0.0000, 0.5000), In at (0.2500, 0.2500, 0.2500) and Sn at (0.2500, 0.2500, 0.7500).

=====

[2]
Material: AlBrF3
Method: DFT, PBE
State: relaxed

The value obtained for the uncorrected formation energy is -2.038 eV/atom. Its total magnetic moment is 0.20 μB per atom. The total energy is -4.244 eV per atom.

The structure belongs to space group Pm-3m (No. 221); the cell edges are 3.9504, 3.9504 and 3.9504 Å and the angles 90.00°, 90.00° and 90.00°. The distinct sites, in fractional coordinates, are Al at (0.0000, 0.0000, 0.0000), Br at (0.5000, 0.5000, 0.5000) and F at (0.0000, 0.0000, 0.5000).

=====

[3]
Material: CsGaAs2Se
Method: DFT, PBE
State: relaxed

The value obtained for the uncorrected formation energy is 0.112 eV/atom. Its total magnetic moment is 0.10 μB per atom. The total energy is -3.221 eV per atom.

The structure belongs to space group P4/mmm (No. 123); the cell edges are 5.1192, 5.1192 and 5.4354 Å and the angles 90.00°, 90.00° and 90.00°. The distinct sites, in fractional coordinates, are Cs at (0.0000, 0.0000, 0.0000), Ga at (0.5000, 0.5000, 0.5000), As at (0.0000, 0.5000, 0.5000) and Se at (0.5000, 0.5000, 0.0000).

=====

[4]
Material: SmNpAgO6
Method: DFT, PBE
State: relaxed

The value obtained for the uncorrected formation energy is -2.184 eV/atom. Its total magnetic moment is 0.12 μB per atom. The total energy is -7.768 eV per atom.

The structure belongs to space group P-31c (No. 163); the cell edges are 5.5720, 5.5720 and 10.1659 Å and the angles 90.00°, 90.00° and 120.00°. The distinct sites, in fractional coordinates, are Sm at (0.0000, 0.0000, 0.0000), Np at (0.3333, 0.6667, 0.2500), Ag at (0.3333, 0.6667, 0.7500) and O at (0.0414, 0.3636, 0.1348).

=====

[5]
Material: GeWI2N
Method: DFT, PBE
State: relaxed

The value obtained for the uncorrected formation energy is 0.574 eV/atom. Its total magnetic moment is 0.11 μB per atom. The total energy is -5.225 eV per atom.

The structure belongs to space group P4/mmm (No. 123); the cell edges are 5.6296, 5.6296 and 3.8444 Å and the angles 90.00°, 90.00° and 90.00°. The distinct sites, in fractional coordinates, are Ge at (0.0000, 0.0000, 0.0000), W at (0.5000, 0.5000, 0.5000), I at (0.0000, 0.5000, 0.5000) and N at (0.5000, 0.5000, 0.0000).

=====

[6]
Material: NaSr5In6
Method: DFT, PBE
State: relaxed

The energy of formation is -0.371 eV per atom. Its total magnetic moment is 0.00 μB per atom. The total energy is -2.551 eV per atom.

The structure belongs to space group C2/m (No. 12); the cell edges are 9.8149, 17.0680 and 5.7235 Å and the angles 90.00°, 125.59° and 90.00°. The distinct sites, in fractional coordinates, are Na at (0.0000, 0.0000, 0.0000), Sr at (0.0000, 0.1760, 0.5000), Sr at (0.0000, 0.3398, 0.0000), Sr at (0.0000, 0.5000, 0.5000), In at (0.2123, 0.0000, 0.7105) and In at (0.2266, 0.1607, 0.2275).

=====

[7]
Material: ScP2O2
Method: DFT, PBE
State: relaxed

The value obtained for the uncorrected formation energy is -1.018 eV/atom. Its total magnetic moment is 0.00 μB per atom. The total energy is -6.432 eV per atom.

The structure belongs to space group P4/mmm (No. 123); the cell edges are 3.6924, 3.6924 and 4.6045 Å and the angles 90.00°, 90.00° and 90.00°. The distinct sites, in fractional coordinates, are Sc at (0.0000, 0.0000, 0.0000), P at (0.5000, 0.5000, 0.0000), P at (0.5000, 0.5000, 0.5000) and O at (0.0000, 0.5000, 0.5000).

=====

[8]
Material: SmBi2Sb2Pt7
Method: DFT, PBE
State: relaxed

The value obtained for the uncorrected formation energy is -0.548 eV/atom. Its total magnetic moment is 0.00 μB per atom. The total energy is -5.799 eV per atom.

The structure belongs to space group C2/m (No. 12); the cell edges are 5.7865, 5.7893 and 16.3694 Å and the angles 90.00°, 100.13° and 90.00°. The distinct sites, in fractional coordinates, are Sm at (0.0000, 0.0000, 0.0000), Bi at (0.2134, 0.0000, 0.4260), Sb at (0.1194, 0.5000, 0.2390), Pt at (0.0000, 0.5000, 0.0000), Pt at (0.1827, 0.2500, 0.8655) and Pt at (0.2017, 0.5000, 0.4015).